[1]
This record from the Alexandria database describes a relaxed structure of TmMg2CuAu4. The functional is PBE.

a = 4.6792 Å, b = 4.6792 Å, c = 8.2783 Å
α = 73.58°, β = 73.58°, γ = 60.00°
Closest atoms and distances in Å follow each position.
Fractional coordinates of all 8 atoms:
Cu (0.5000, 0.5000, 0.5000)  8 Au 2.67-2.86
Au (0.8736, 0.8736, 0.3793)  4 Mg 2.77-2.84, 3 Cu 2.86, 1 Tm 2.97
Au (0.3863, 0.3863, 0.8412)  1 Cu 2.67, 3 Mg 2.83, 3 Tm 2.97
Au (0.1264, 0.1264, 0.6207)  4 Mg 2.77-2.84, 3 Cu 2.86, 1 Tm 2.97
Au (0.6137, 0.6137, 0.1588)  1 Cu 2.67, 3 Mg 2.83, 3 Tm 2.97
Mg (0.2444, 0.2444, 0.2667)  7 Au 2.77-2.84
Mg (0.7556, 0.7556, 0.7333)  7 Au 2.77-2.84
Tm (0.0000, 0.0000, 0.0000)  8 Au 2.97

Summary:
The calculation puts the energy of formation from the pure elements at -0.538 eV/atom. The total energy comes out at -3.647 eV per atom.

=====

[2]
This record from the Alexandria database describes a relaxed structure of YMg2CuAu. The functional is PBE.

a = 5.9796 Å, b = 5.0725 Å, c = 5.9796 Å
α = 90.00°, β = 90.00°, γ = 90.00°
Closest atoms and distances in Å follow each position.
Fractional coordinates of all 5 atoms:
Mg (0.0000, 0.0000, 0.5000)  2 Y 2.99
Mg (0.5000, 0.0000, 0.0000)  2 Y 2.99
Cu (0.0000, 0.5000, 0.0000)  2 Y 2.54
Y (0.0000, 0.0000, 0.0000)  2 Cu 2.54
Au (0.5000, 0.5000, 0.5000)  8 Mg 3.92, 4 Cu 4.23

Summary:
The calculation puts the energy of formation from the pure elements at 1.149 eV/atom. The total energy comes out at -2.256 eV per atom.

=====

[3]
This record from the Alexandria database describes a relaxed structure of Mg2ZnCuAu5. The functional is PBE.

a = 8.2208 Å, b = 8.2208 Å, c = 7.7571 Å
α = 122.00°, β = 122.00°, γ = 90.00°
Closest atoms and distances in Å follow each position.
Fractional coordinates of all 18 atoms:
Cu (0.7500, 0.2500, 0.5000)  4 Au 2.49
Cu (0.2500, 0.7500, 0.5000)  4 Au 2.49
Au (0.0000, 0.0000, 0.0000)  2 Zn 2.57
Au (0.8250, 0.9474, 0.2723)  1 Cu 2.49, 1 Mg 2.63, 1 Au 2.74
Au (0.1750, 0.0526, 0.7277)  1 Cu 2.49, 1 Mg 2.63, 1 Au 2.74
Au (0.9474, 0.4474, 0.2723)  1 Cu 2.49, 1 Mg 2.63, 1 Au 2.74
Au (0.5526, 0.6750, 0.7277)  1 Cu 2.49, 1 Mg 2.63, 1 Au 2.74
Au (0.3250, 0.8250, 0.2723)  1 Cu 2.49, 1 Mg 2.63, 1 Au 2.74
Au (0.5000, 0.5000, 0.0000)  2 Zn 2.57
Au (0.4474, 0.3250, 0.2723)  1 Cu 2.49, 1 Mg 2.63, 1 Au 2.74
Au (0.0526, 0.5526, 0.7277)  1 Cu 2.49, 1 Mg 2.63, 1 Au 2.74
Au (0.6750, 0.1750, 0.7277)  1 Cu 2.49, 1 Mg 2.63, 1 Au 2.74
Mg (0.1197, 0.3803, 0.0000)  2 Au 2.63, 1 Mg 2.78, 2 Cu 2.92
Mg (0.3803, 0.8803, 0.0000)  2 Au 2.63, 1 Mg 2.78, 2 Cu 2.92
Mg (0.8803, 0.6197, 0.0000)  2 Au 2.63, 1 Mg 2.78, 2 Cu 2.92
Mg (0.6197, 0.1197, 0.0000)  2 Au 2.63, 1 Mg 2.78, 2 Cu 2.92
Zn (0.7500, 0.7500, 0.5000)  2 Au 2.57
Zn (0.2500, 0.2500, 0.5000)  2 Au 2.57

Summary:
The calculation puts the energy of formation from the pure elements at -0.095 eV/atom. The total energy comes out at -2.867 eV per atom.

=====

| no. | ρ (g/cm³) | calculated volume (A^3/atom) |
| --- | --- | --- |
| 1 | 12.0 | 18.5 |
| 2 | 3.6 | 36.3 |
| 3 | 11.1 | 19.3 |